Run i
## Co (PBE)

Data for Co after structural relaxation.

The space group is Cmcm (No. 63) and the conventional cell measures 2.422, 4.370 and 3.995 Å, with angles of 90.00, 90.00 and 90.00 degrees. The distinct sites, in fractional coordinates, are Co at (0.000, 0.162, 0.250).

As for the crystal system: orthorhombic.

---

Run ii
## Co (PBE)

Data for Co after structural relaxation.

The space group is P4_2/mnm (No. 136) and the conventional cell measures 8.337, 8.337 and 4.506 Å, with angles of 90.00, 90.00 and 90.00 degrees. The distinct sites, in fractional coordinates, are Co at (0.025, 0.362, 0.000), Co at (0.052, 0.245, 0.500), Co at (0.094, 0.094, 0.000) and Co at (0.190, 0.810, 0.249).

As for the crystal system: tetragonal.

---

Stability verdict: run ii, ahead by 103 meV/atom

---

Run i
## TaNbNO (PBE)

Data for TaNbNO after structural relaxation.

The space group is P4/nmm (No. 129, origin choice 2) and the conventional cell measures 4.379, 4.379 and 4.548 Å, with angles of 90.00, 90.00 and 90.00 degrees. The distinct sites, in fractional coordinates, are Ta at (0.250, 0.250, 0.074), Nb at (0.250, 0.750, 0.500), N at (0.250, 0.250, 0.589) and O at (0.250, 0.750, 0.000).

As for the crystal system: tetragonal.

---

Run ii
## TaNbNO (PBE)

Data for TaNbNO after structural relaxation.

The space group is Pmc2_1 (No. 26) and the conventional cell measures 3.108, 5.836 and 5.642 Å, with angles of 90.00, 90.00 and 90.00 degrees. The distinct sites, in fractional coordinates, are Ta at (0.000, 0.104, 0.000), Nb at (0.500, 0.330, 0.605), N at (0.500, 0.339, 0.962) and O at (0.000, 0.222, 0.360).

As for the crystal system: orthorhombic.

---

Stability verdict: run ii, ahead by 261 meV/atom

---

Run i
## Cu7Ag3 (PBE)

Data for Cu7Ag3 after structural relaxation.

The space group is C2/m (No. 12) and the conventional cell measures 13.668, 3.804 and 5.391 Å, with angles of 90.00, 101.95 and 90.00 degrees. The distinct sites, in fractional coordinates, are Cu at (0.000, 0.000, 0.000), Cu at (0.097, 0.500, 0.799), Cu at (0.099, 0.500, 0.302), Cu at (0.200, 0.000, 0.596), Ag at (0.000, 0.000, 0.500) and Ag at (0.197, 0.000, 0.105).

As for the crystal system: monoclinic.

---

Run ii
## Cu7Ag3 (PBE)

Data for Cu7Ag3 after structural relaxation.

The space group is Pmm2 (No. 25) and the conventional cell measures 2.778, 3.399 and 14.524 Å, with angles of 90.00, 90.00 and 90.00 degrees. The distinct sites, in fractional coordinates, are Cu at (0.000, 0.000, 0.000), Cu at (0.000, 0.000, 0.175), Cu at (0.000, 0.000, 0.350), Cu at (0.000, 0.000, 0.783), Cu at (0.500, 0.500, 0.086), Cu at (0.500, 0.500, 0.264), Cu at (0.500, 0.500, 0.699), Ag at (0.000, 0.000, 0.589), Ag at (0.500, 0.500, 0.459) and Ag at (0.500, 0.500, 0.892).

As for the crystal system: orthorhombic.

---

Run iii
## Cu7Ag3 (PBE)

Data for Cu7Ag3 after structural relaxation.

The space group is P1 (No. 1) and the conventional cell measures 4.662, 5.441 and 5.945 Å, with angles of 76.80, 75.85 and 72.90 degrees. The distinct sites, in fractional coordinates, are Cu at (0.000, 0.000, 0.000), Cu at (0.002, 0.516, 0.004), Cu at (0.201, 0.802, 0.624), Cu at (0.387, 0.618, 0.196), Cu at (0.393, 0.111, 0.186), Cu at (0.599, 0.409, 0.831), Cu at (0.607, 0.896, 0.824), Ag at (0.210, 0.302, 0.619), Ag at (0.782, 0.712, 0.410) and Ag at (0.807, 0.206, 0.395).

As for the crystal system: triclinic.

---

Stability verdict: run ii, ahead by 17 meV/atom

---

Run i
## Cu7Ag3 (PBE)

Data for Cu7Ag3 after structural relaxation.

The space group is Cm (No. 8) and the conventional cell measures 17.571, 2.801 and 5.624 Å, with angles of 90.00, 99.26 and 90.00 degrees. The distinct sites, in fractional coordinates, are Cu at (0.000, 0.000, 0.000), Cu at (0.000, 0.000, 0.459), Cu at (0.099, 0.500, 0.278), Cu at (0.323, 0.500, 0.881), Cu at (0.325, 0.500, 0.401), Cu at (0.408, 0.000, 0.181), Cu at (0.416, 0.000, 0.689), Ag at (0.097, 0.500, 0.779), Ag at (0.214, 0.000, 0.581) and Ag at (0.217, 0.000, 0.091).

As for the crystal system: monoclinic.

---

Run ii
## Cu7Ag3 (PBE)

Data for Cu7Ag3 after structural relaxation.

The space group is C2/m (No. 12) and the conventional cell measures 8.435, 3.806 and 8.513 Å, with angles of 90.00, 90.44 and 90.00 degrees. The distinct sites, in fractional coordinates, are Cu at (0.000, 0.000, 0.000), Cu at (0.098, 0.500, 0.816), Cu at (0.198, 0.000, 0.609), Cu at (0.207, 0.500, 0.091), Ag at (0.000, 0.500, 0.500) and Ag at (0.107, 0.000, 0.289).

As for the crystal system: monoclinic.

---

Stability verdict: run i, ahead by 16 meV/atom

---

Run i
## Gd (PBE)

Data for Gd after structural relaxation.

The space group is Pm-3n (No. 223) and the conventional cell measures 6.384, 6.384 and 6.384 Å, with angles of 90.00, 90.00 and 90.00 degrees. The distinct sites, in fractional coordinates, are Gd at (0.000, 0.000, 0.000) and Gd at (0.000, 0.250, 0.500).

As for the crystal system: cubic.

---

Run ii
## Gd (PBE)

Data for Gd after structural relaxation.

The space group is P6_3/mmc (No. 194) and the conventional cell measures 5.5277, 5.5277 and 5.4855 Å, with angles of 90.00, 90.00 and 120.00 degrees. The distinct sites, in fractional coordinates, are Gd at (0.0000, 0.0000, 0.2500) and Gd at (0.3333, 0.6667, 0.2500).

As for the crystal system: hexagonal.

---

Stability verdict: run i, ahead by 582 meV/atom

---

Run i
## NbAlCoNi (PBE)

Data for NbAlCoNi after structural relaxation.

The space group is F-43m (No. 216) and the conventional cell measures 5.969, 5.969 and 5.969 Å, with angles of 90.00, 90.00 and 90.00 degrees. The distinct sites, in fractional coordinates, are Nb at (0.000, 0.000, 0.000), Al at (0.250, 0.250, 0.250), Co at (0.000, 0.000, 0.500) and Ni at (0.250, 0.250, 0.750).

As for the crystal system: cubic.

---

Run ii
## NbAlCoNi (PBE)

Data for NbAlCoNi after structural relaxation.

The space group is F-43m (No. 216) and the conventional cell measures 5.966, 5.966 and 5.966 Å, with angles of 90.00, 90.00 and 90.00 degrees. The distinct sites, in fractional coordinates, are Nb at (0.000, 0.000, 0.000), Al at (0.000, 0.000, 0.500), Co at (0.250, 0.250, 0.750) and Ni at (0.250, 0.250, 0.250).

As for the crystal system: cubic.

---

Stability verdict: run ii, ahead by 283 meV/atom